# 1
VASP calculation (PBE) on an optimized crystal structure of InPd4Pt2.

Cell lengths 4.839, 4.839, 6.421 Å; angles 98.17, 98.17, 48.90 degrees
Sites, in units of the cell vectors:
1 In 0.000 0.000 0.000
2 Pd 0.287 0.287 0.855
3 Pd 0.428 0.428 0.290
4 Pd 0.572 0.572 0.710
5 Pd 0.713 0.713 0.145
6 Pt 0.143 0.143 0.432
7 Pt 0.857 0.857 0.568

Results
- Polymorph energy (0 for the lowest one): 0 meV/atom
- E_form: -0.27 eV/atom
- Energy: -5.36 eV/atom

# 2
VASP calculation (PBE) on an optimized crystal structure of InPd2Pt8.

Cell lengths 7.025, 7.025, 5.571 Å; angles 104.33, 104.33, 44.78 degrees
Sites, in units of the cell vectors:
1 In 0.000 0.000 0.000
2 Pd 0.221 0.221 0.428
3 Pd 0.779 0.779 0.572
4 Pt 0.156 0.656 0.328
5 Pt 0.256 0.256 0.970
6 Pt 0.344 0.844 0.672
7 Pt 0.425 0.425 0.784
8 Pt 0.575 0.575 0.216
9 Pt 0.656 0.156 0.328
10 Pt 0.744 0.744 0.030
11 Pt 0.844 0.344 0.672

Results
- Polymorph energy (0 for the lowest one): 140 meV/atom
- E_form: -0.01 eV/atom
- Energy: -5.59 eV/atom

# 3
VASP calculation (PBE) on an optimized crystal structure of In5Pd4Pt.

Cell lengths 3.321, 3.321, 16.318 Å; angles 90.00, 90.00, 90.00 degrees
Sites, in units of the cell vectors:
1 In 0.000 0.000 0.000
2 In 0.000 0.000 0.199
3 In 0.000 0.000 0.400
4 In 0.000 0.000 0.600
5 In 0.000 0.000 0.801
6 Pd 0.500 0.500 0.100
7 Pd 0.500 0.500 0.299
8 Pd 0.500 0.500 0.701
9 Pd 0.500 0.500 0.900
10 Pt 0.500 0.500 0.500

Results
- E_form: -0.47 eV/atom
- Energy: -4.52 eV/atom